(1)
DFT (PBE-GGA) results for a geometry-optimized Th8Sn2Os structure.

a = 5.519 Å, b = 6.804 Å, c = 9.976 Å
α = 111.91°, β = 106.06°, γ = 90.00°
Sites, in units of the cell vectors:
1 Th 0.357 0.022 0.715
2 Th 0.410 0.561 0.821
3 Sn 0.171 0.729 0.343
4 Th 0.222 0.317 0.445
5 Th 0.590 0.439 0.179
6 Th 0.005 0.771 0.010
7 Sn 0.829 0.271 0.657
8 Th 0.995 0.229 0.990
9 Os 0.500 0.000 0.000
10 Th 0.778 0.683 0.555
11 Th 0.643 0.978 0.285

Properties
Crystal system: monoclinic
Formation energy (eV/f.u.): -1.916
Space group: C2/m
ρ (Mg/m³): 11.43

---

(2)
DFT (PBE-GGA) results for a geometry-optimized Ac2SmAs3Pd4 structure.

a = 4.410 Å, b = 4.410 Å, c = 11.566 Å
α = 90.00°, β = 90.00°, γ = 90.00°
Sites, in units of the cell vectors:
1 Ac 0.000 0.500 0.785
2 Pd 0.000 0.000 0.000
3 As 0.000 0.500 0.125
4 Sm 0.500 0.500 0.500
5 Ac 0.500 0.000 0.215
6 Pd 0.500 0.500 0.000
7 Pd 0.000 0.500 0.343
8 As 0.000 0.000 0.500
9 As 0.500 0.000 0.875
10 Pd 0.500 0.000 0.657

Properties
Crystal system: tetragonal
Formation energy (eV/f.u.): -9.533
Space group: P-4m2
ρ (Mg/m³): 9.26

---

(3)
DFT (PBE-GGA) results for a geometry-optimized Nd14YAl structure.

a = 7.038 Å, b = 7.038 Å, c = 11.349 Å
α = 90.00°, β = 90.00°, γ = 105.35°
Sites, in units of the cell vectors:
1 Nd 0.099 0.314 0.768
2 Nd 0.324 0.099 0.000
3 Nd 0.099 0.314 0.232
4 Nd 0.815 0.185 0.500
5 Nd 0.686 0.901 0.768
6 Nd 0.614 0.386 0.233
7 Nd 0.180 0.820 0.258
8 Nd 0.387 0.613 0.500
9 Nd 0.313 0.112 0.500
10 Al 0.828 0.172 0.000
11 Nd 0.901 0.676 0.000
12 Nd 0.888 0.687 0.500
13 Nd 0.686 0.901 0.232
14 Nd 0.180 0.820 0.742
15 Nd 0.614 0.386 0.767
16 Y 0.383 0.617 0.000

Properties
Crystal system: orthorhombic
Formation energy (eV/f.u.): 0.287
Space group: Amm2
ρ (Mg/m³): 6.54

---

(4)
DFT (PBE-GGA) results for a geometry-optimized RbLa2Au structure.

a = 5.592 Å, b = 5.592 Å, c = 5.592 Å
α = 60.00°, β = 60.00°, γ = 60.00°
Sites, in units of the cell vectors:
1 Au 0.500 0.500 0.500
2 La 0.750 0.750 0.750
3 Rb 0.000 0.000 0.000
4 La 0.250 0.250 0.250

Properties
Crystal system: cubic
Formation energy (eV/f.u.): 0.585
Space group: Fm-3m
ρ (Mg/m³): 7.52
Energy above the lowest structure with this stoichiometry (meV per atom): 82

---

(5)
DFT (PBE-GGA) results for a geometry-optimized UHg2Se2 structure.

a = 4.104 Å, b = 4.106 Å, c = 12.312 Å
α = 81.33°, β = 90.00°, γ = 119.99°
Sites, in units of the cell vectors:
1 U 0.000 0.000 0.000
2 Hg 0.137 0.274 0.603
3 Se 0.629 0.257 0.127
4 Hg 0.863 0.726 0.397
5 Se 0.371 0.743 0.873

Properties
Crystal system: monoclinic
Space group: C2/m
ρ (Mg/m³): 7.48
Formation energy (no corrections) (eV per atom): -0.647

---

(6)
DFT (PBE-GGA) results for a geometry-optimized LiTiOs3 structure.

a = 4.115 Å, b = 4.115 Å, c = 4.115 Å
α = 90.00°, β = 90.00°, γ = 90.00°
Sites, in units of the cell vectors:
1 Ti 0.500 0.500 0.500
2 Li 0.000 0.000 0.000
3 Os 0.000 0.000 0.500
4 Os 0.000 0.500 0.000
5 Os 0.500 0.000 0.000

Properties
Crystal system: cubic
Formation energy (eV/f.u.): 4.414
Space group: Pm-3m
ρ (Mg/m³): 14.90
Energy above the lowest structure with this stoichiometry (meV per atom): 0

---

(7)
DFT (PBE-GGA) results for a geometry-optimized Ba2NpO5 structure.

a = 4.205 Å, b = 6.172 Å, c = 6.172 Å
α = 90.00°, β = 90.00°, γ = 90.00°
Sites, in units of the cell vectors:
1 O 0.000 0.768 0.768
2 O 0.000 0.232 0.768
3 Ba 0.500 0.500 0.000
4 O 0.000 0.232 0.232
5 O 0.500 0.000 0.000
6 O 0.000 0.768 0.232
7 Np 0.000 0.000 0.000
8 Ba 0.500 0.000 0.500

Properties
Crystal system: tetragonal
Space group: P4/mmm
ρ (Mg/m³): 6.13
Formation energy (no corrections) (eV per atom): -2.828
Energy above the lowest structure with this stoichiometry (meV per atom): 137

---

(8)
DFT (PBE-GGA) results for a geometry-optimized SrCu2AsH structure.

a = 4.198 Å, b = 5.837 Å, c = 6.958 Å
α = 90.00°, β = 90.00°, γ = 111.07°
Sites, in units of the cell vectors:
1 Cu 0.843 0.685 0.065
2 As 0.282 0.563 0.250
3 Cu 0.157 0.315 0.935
4 Cu 0.157 0.315 0.565
5 Sr 0.434 0.869 0.750
6 Cu 0.843 0.685 0.435
7 As 0.718 0.437 0.750
8 Sr 0.566 0.131 0.250
9 H 0.000 0.000 0.000
10 H 0.000 0.000 0.500

Properties
Raw total energy (eV/atom): -4.00
Crystal system: orthorhombic
Space group: Cmcm
ρ (Mg/m³): 6.07

---

(9)
DFT (PBE-GGA) results for a geometry-optimized Ho2NiSe structure.

a = 4.125 Å, b = 3.872 Å, c = 11.168 Å
α = 99.98°, β = 90.00°, γ = 90.00°
Sites, in units of the cell vectors:
1 Se 0.750 0.806 0.613
2 Ho 0.750 0.673 0.347
3 Ho 0.750 0.938 0.877
4 Ni 0.750 0.535 0.071
5 Ho 0.250 0.327 0.653
6 Ho 0.250 0.062 0.123
7 Se 0.250 0.194 0.387
8 Ni 0.250 0.465 0.929

Properties
Crystal system: orthorhombic
Space group: Cmcm
ρ (Mg/m³): 8.84
Formation energy (no corrections) (eV per atom): -1.085
Energy above the lowest structure with this stoichiometry (meV per atom): 0

---

(10)
DFT (PBE-GGA) results for a geometry-optimized HgTeCl3 structure.

a = 5.353 Å, b = 5.353 Å, c = 5.353 Å
α = 90.00°, β = 90.00°, γ = 90.00°
Sites, in units of the cell vectors:
1 Cl 0.500 0.000 0.000
2 Cl 0.000 0.000 0.500
3 Hg 0.500 0.500 0.500
4 Cl 0.000 0.500 0.000
5 Te 0.000 0.000 0.000

Properties
Crystal system: cubic
Space group: Pm-3m
ρ (Mg/m³): 4.70
Formation energy (no corrections) (eV per atom): -0.283
Energy above the lowest structure with this stoichiometry (meV per atom): 210

---

(11)
DFT (PBE-GGA) results for a geometry-optimized Cs2HgIBr3 structure.

a = 5.957 Å, b = 5.858 Å, c = 9.914 Å
α = 107.18°, β = 107.48°, γ = 90.00°
Sites, in units of the cell vectors:
1 Br 0.157 0.157 0.314
2 Cs 0.641 0.641 0.283
3 Cs 0.359 0.359 0.717
4 I 0.500 0.000 0.000
5 Hg 0.000 0.000 0.000
6 Br 0.000 0.500 0.000
7 Br 0.843 0.843 0.686

Properties
Crystal system: orthorhombic
Space group: Immm
ρ (Mg/m³): 4.41
Formation energy (no corrections) (eV per atom): -1.150

---

(12)
DFT (PBE-GGA) results for a geometry-optimized TbScHg4 structure.

a = 3.478 Å, b = 6.296 Å, c = 8.027 Å
α = 114.91°, β = 77.49°, γ = 73.97°
Sites, in units of the cell vectors:
1 Hg 0.818 0.520 0.843
2 Sc 0.000 0.000 0.000
3 Hg 0.182 0.480 0.157
4 Hg 0.656 0.011 0.677
5 Hg 0.344 0.989 0.323
6 Tb 0.500 0.500 0.500

Properties
Crystal system: monoclinic
Formation energy (eV/f.u.): -1.807
Space group: C2/m
ρ (Mg/m³): 11.80
Energy above the lowest structure with this stoichiometry (meV per atom): 33

---

(13)
DFT (PBE-GGA) results for a geometry-optimized CaSi3Sb structure.

a = 5.212 Å, b = 5.212 Å, c = 5.212 Å
α = 90.00°, β = 90.00°, γ = 90.00°
Sites, in units of the cell vectors:
1 Sb 0.000 0.000 0.000
2 Si 0.500 0.000 0.000
3 Si 0.000 0.000 0.500
4 Si 0.000 0.500 0.000
5 Ca 0.500 0.500 0.500

Properties
Crystal system: cubic
Space group: Pm-3m
ρ (Mg/m³): 2.89
Formation energy (no corrections) (eV per atom): 0.820
Energy above the lowest structure with this stoichiometry (meV per atom): 0

---

(14)
DFT (PBE-GGA) results for a geometry-optimized HfBi2SbCl structure.

a = 5.615 Å, b = 5.452 Å, c = 5.615 Å
α = 90.00°, β = 90.00°, γ = 90.00°
Sites, in units of the cell vectors:
1 Sb 0.000 0.500 0.000
2 Bi 0.500 0.000 0.000
3 Hf 0.000 0.000 0.000
4 Cl 0.500 0.500 0.500
5 Bi 0.000 0.000 0.500

Properties
Crystal system: tetragonal
Space group: P4/mmm
ρ (Mg/m³): 7.28
Formation energy (no corrections) (eV per atom): 0.088

---

(15)
DFT (PBE-GGA) results for a geometry-optimized Mn2TlIn2Cl7 structure.

a = 5.080 Å, b = 5.080 Å, c = 13.355 Å
α = 80.72°, β = 80.72°, γ = 89.68°
Sites, in units of the cell vectors:
1 Tl 0.000 0.000 0.000
2 Cl 0.500 0.500 0.000
3 In 0.209 0.209 0.635
4 Mn 0.411 0.411 0.198
5 Cl 0.352 0.352 0.387
6 In 0.791 0.791 0.365
7 Cl 0.576 0.080 0.809
8 Cl 0.080 0.576 0.809
9 Cl 0.920 0.424 0.191
10 Cl 0.424 0.920 0.191
11 Mn 0.589 0.589 0.802
12 Cl 0.648 0.648 0.613

Properties
Crystal system: monoclinic
Space group: C2/m
ρ (Mg/m³): 3.92
Formation energy (no corrections) (eV per atom): -0.970

---

(16)
DFT (PBE-GGA) results for a geometry-optimized SrTlOs2 structure.

a = 9.710 Å, b = 9.710 Å, c = 9.710 Å
α = 18.38°, β = 18.38°, γ = 18.38°
Sites, in units of the cell vectors:
1 Os 0.494 0.494 0.494
2 Tl 0.750 0.750 0.750
3 Sr 0.250 0.250 0.250
4 Os 0.006 0.006 0.006

Properties
Crystal system: trigonal
Formation energy (eV/f.u.): 5.049
Space group: R-3m
ρ (Mg/m³): 14.05
Energy above the lowest structure with this stoichiometry (meV per atom): 979

---

(17)
DFT (PBE-GGA) results for a geometry-optimized PuZnO2 structure.

a = 3.333 Å, b = 3.333 Å, c = 6.473 Å
α = 75.08°, β = 75.08°, γ = 60.00°
Sites, in units of the cell vectors:
1 O 0.890 0.890 0.331
2 Pu 0.000 0.000 0.000
3 O 0.110 0.110 0.669
4 Zn 0.500 0.500 0.500

Properties
Crystal system: trigonal
Space group: R-3m
ρ (Mg/m³): 9.54
Formation energy (no corrections) (eV per atom): -1.497

---

(18)
DFT (PBE-GGA) results for a geometry-optimized La4OsSeBr2 structure.

a = 4.208 Å, b = 7.679 Å, c = 7.866 Å
α = 106.67°, β = 90.00°, γ = 90.00°
Sites, in units of the cell vectors:
1 La 0.500 0.742 0.790
2 La 0.000 0.713 0.204
3 Br 0.000 0.500 0.500
4 Se 0.000 0.000 0.000
5 Os 0.500 0.500 0.000
6 La 0.000 0.287 0.796
7 Br 0.500 0.000 0.500
8 La 0.500 0.258 0.210

Properties
Crystal system: monoclinic
Space group: P2/m
ρ (Mg/m³): 6.72
Formation energy (no corrections) (eV per atom): -1.252

---

(19)
DFT (PBE-GGA) results for a geometry-optimized PuHgBiAu structure.

a = 5.237 Å, b = 5.237 Å, c = 5.237 Å
α = 60.00°, β = 60.00°, γ = 60.00°
Sites, in units of the cell vectors:
1 Hg 0.000 0.000 0.000
2 Pu 0.250 0.250 0.250
3 Bi 0.750 0.750 0.750
4 Au 0.500 0.500 0.500

Properties
Crystal system: cubic
Formation energy (eV/f.u.): -0.886
Space group: F-43m
ρ (Mg/m³): 13.91

---

(20)
DFT (PBE-GGA) results for a geometry-optimized K4TbNp3S8 structure.

a = 8.184 Å, b = 8.741 Å, c = 8.184 Å
α = 117.92°, β = 120.00°, γ = 90.00°
Sites, in units of the cell vectors:
1 K 0.000 0.000 0.000
2 Np 0.000 0.500 0.500
3 S 0.735 0.702 0.968
4 S 0.234 0.702 0.968
5 K 0.500 0.000 0.500
6 S 0.267 0.302 0.535
7 Tb 0.000 0.500 0.000
8 S 0.234 0.702 0.468
9 S 0.733 0.698 0.465
10 K 0.000 0.000 0.500
11 S 0.766 0.298 0.032
12 Np 0.500 0.500 0.500
13 K 0.500 0.000 0.000
14 Np 0.500 0.500 0.000
15 S 0.766 0.298 0.532
16 S 0.265 0.298 0.032

Properties
Crystal system: trigonal
Space group: R-3m
ρ (Mg/m³): 4.99
Formation energy (no corrections) (eV per atom): -1.513